(1)
The following is a DFT calculation (PBE-GGA) of a relaxed structure of CdIn2Hg.

The structure belongs to space group R3m (No. 160, hexagonal axes); the cell edges are 3.4520, 3.4520 and 29.9635 Å and the angles 90.00°, 90.00° and 120.00°. The inequivalent atoms are Cd at (0.0000, 0.0000, 0.0000), In at (0.0000, 0.0000, 0.2511), In at (0.0000, 0.0000, 0.4960) and Hg at (0.0000, 0.0000, 0.7468).

The value obtained for the total magnetization is 0.00 μB per formula unit. The value obtained for the total energy is -1.66 eV/atom. As for the density of states at the Fermi level: 4.00 states/eV per cell. As for the formation enthalpy at 0 K: 0.014 eV per atom. The energy relative to the lowest polymorph listed for this composition comes out at 8 meV/atom.

=====

(2)
The following is a DFT calculation (PBE-GGA) of a relaxed structure of Cd4InHg15.

The structure belongs to space group P4/mmm (No. 123); the cell edges are 5.518, 5.518 and 17.198 Å and the angles 90.00°, 90.00° and 90.00°. The inequivalent atoms are Cd at (0.000, 0.000, 0.098), Cd at (0.000, 0.000, 0.294), In at (0.000, 0.000, 0.500), Hg at (0.000, 0.500, 0.000), Hg at (0.000, 0.500, 0.199), Hg at (0.000, 0.500, 0.397), Hg at (0.500, 0.500, 0.100), Hg at (0.500, 0.500, 0.300) and Hg at (0.500, 0.500, 0.500).

The value obtained for the total magnetization is 0.00 μB per formula unit. The value obtained for the total energy is -0.53 eV/atom. As for the density of states at the Fermi level: 5.41 states/eV per cell. As for the formation enthalpy at 0 K: 0.019 eV per atom.

=====

(3)
The following is a DFT calculation (PBE-GGA) of a relaxed structure of Cd3In4Hg5.

The structure belongs to space group P-1 (No. 2); the cell edges are 6.105, 6.132 and 8.614 Å and the angles 95.92°, 96.76° and 100.87°. The inequivalent atoms are Cd at (0.000, 0.000, 0.000), Cd at (0.351, 0.665, 0.691), In at (0.154, 0.325, 0.359), In at (0.417, 0.833, 0.342), Hg at (0.091, 0.179, 0.690), Hg at (0.252, 0.496, 0.024) and Hg at (0.500, 0.000, 0.000).

The value obtained for the total magnetization is 0.00 μB per formula unit. The value obtained for the total energy is -1.24 eV/atom. As for the density of states at the Fermi level: 3.65 states/eV per cell. As for the formation enthalpy at 0 K: 0.022 eV per atom. The energy relative to the lowest polymorph listed for this composition comes out at 0 meV/atom.

=====

(4)
The following is a DFT calculation (PBE-GGA) of a relaxed structure of Cd2In3Hg4.

The structure belongs to space group C2/c (No. 15); the cell edges are 19.650, 5.182 and 11.415 Å and the angles 90.00°, 125.17° and 90.00°. The inequivalent atoms are Cd at (0.183, 0.101, 0.362), In at (0.000, 0.084, 0.250), In at (0.108, 0.414, 0.925), Hg at (0.057, 0.241, 0.580) and Hg at (0.249, 0.407, 0.826).

The value obtained for the total magnetization is 0.00 μB per formula unit. The value obtained for the total energy is -1.22 eV/atom. As for the density of states at the Fermi level: 12.16 states/eV per cell. As for the formation enthalpy at 0 K: 0.035 eV per atom.

=====

What is the formation enthalpy at 0 K in the second record? 0.019 eV per atom